1.
Compound: BaMo2P
Source: Alexandria via LeMat-Bulk
Functional: GGA-PBEsol
Structure: optimized geometry

Summary:
- ΔE_f: 1.100 eV/atom
- Density of states at the Fermi level: 5.2 states/eV/f.u.
- VASP energy: -27.076 eV/f.u.

Structure (POSCAR):
```
BaMo2P
1.0
3.412 0.000 0.000
0.000 4.500 0.000
0.000 0.000 4.888
Ba Mo P
1 2 1
Direct
0.000 0.000 0.000 Ba
0.000 0.500 0.500 Mo
0.500 0.500 0.000 Mo
0.500 0.000 0.500 P
```



2.
Compound: BaMo2P
Source: Alexandria via LeMat-Bulk
Functional: GGA-PBEsol
Structure: optimized geometry

Summary:
- ΔE_f: 0.773 eV/atom
- Density of states at the Fermi level: 3.2 states/eV/f.u.
- VASP energy: -28.384 eV/f.u.

Structure (POSCAR):
```
BaMo2P
1.0
-1.581 2.927 4.716
1.581 -2.927 4.716
1.581 2.927 -4.716
Ba Mo P
1 2 1
Direct
0.000 0.000 0.000 Ba
0.497 0.497 0.000 Mo
0.687 0.187 0.500 Mo
0.287 0.787 0.500 P
```



3.
Compound: BaMo2P
Source: Alexandria via LeMat-Bulk
Functional: GGA-PBEsol
Structure: optimized geometry

Summary:
- ΔE_f: 0.267 eV/atom
- Density of states at the Fermi level: 2.7 states/eV/f.u.
- VASP energy: -30.409 eV/f.u.

Structure (POSCAR):
```
BaMo2P
1.0
4.855 0.000 0.000
0.000 3.461 0.000
-2.427 0.000 5.643
Ba Mo P
1 2 1
Direct
0.000 0.000 0.000 Ba
0.251 0.500 0.606 Mo
0.749 0.500 0.394 Mo
0.500 0.000 0.500 P
```



4.
Compound: BaMoP2
Source: Alexandria via LeMat-Bulk
Functional: GGA-PBEsol
Structure: optimized geometry

Summary:
- ΔE_f: -0.648 eV/atom
- Density of states at the Fermi level: 0.9 states/eV/f.u.
- VASP energy: -28.092 eV/f.u.

Structure (POSCAR):
```
BaMoP2
1.0
3.630 0.000 0.000
-1.815 3.144 0.000
0.000 0.000 7.147
Ba Mo P
1 1 2
Direct
0.000 0.000 0.000 Ba
0.667 0.333 0.500 Mo
0.333 0.667 0.314 P
0.333 0.667 0.686 P
```



5.
Compound: BaSrMo2P
Source: Alexandria via LeMat-Bulk
Functional: GGA-PBEsol
Structure: optimized geometry

Summary:
- ΔE_f: 1.996 eV/atom
- Density of states at the Fermi level: 4.8 states/eV/f.u.
- VASP energy: -23.335 eV/f.u.

Structure (POSCAR):
```
BaSrMo2P
1.0
5.066 0.000 0.000
0.000 5.066 0.000
0.000 0.000 5.553
Ba Sr Mo P
1 1 2 1
Direct
0.000 0.000 0.000 Ba
0.500 0.500 0.500 Sr
0.000 0.500 0.500 Mo
0.500 0.000 0.500 Mo
0.500 0.500 0.000 P
```



6.
Compound: BaMoPb2W
Source: Alexandria via LeMat-Bulk
Functional: GGA-PBEsol
Structure: optimized geometry

Summary:
- ΔE_f: 1.580 eV/atom
- Density of states at the Fermi level: 3.6 states/eV/f.u.
- VASP energy: -27.821 eV/f.u.

Structure (POSCAR):
```
BaMoPb2W
1.0
5.369 0.000 0.000
0.000 5.369 0.000
0.000 0.000 5.678
Ba Mo Pb W
1 1 2 1
Direct
0.000 0.000 0.000 Ba
0.500 0.500 0.000 Mo
0.000 0.500 0.500 Pb
0.500 0.000 0.500 Pb
0.000 0.000 0.500 W
```



7.
Compound: BaTeMoPd2
Source: Alexandria via LeMat-Bulk
Functional: GGA-PBEsol
Structure: optimized geometry

Summary:
- Density of states at the Fermi level: 3.7 states/eV/f.u.
- VASP energy: -20.498 eV/f.u.
- Formation energy from raw total energies: 1773 meV per atom

Structure (POSCAR):
```
BaTeMoPd2
1.0
5.121 0.000 0.000
0.000 5.121 0.000
0.000 0.000 5.491
Ba Te Mo Pd
1 1 1 2
Direct
0.000 0.000 0.000 Ba
0.500 0.500 0.500 Te
0.000 0.000 0.500 Mo
0.000 0.500 0.000 Pd
0.500 0.000 0.000 Pd
```



8.
Compound: BaMo2Pt
Source: Alexandria via LeMat-Bulk
Functional: GGA-PBEsol
Structure: optimized geometry

Summary:
- ΔE_f: 0.760 eV/atom
- Density of states at the Fermi level: 4.9 states/eV/f.u.
- VASP energy: -29.610 eV/f.u.

Structure (POSCAR):
```
BaMo2Pt
1.0
1.982 -2.030 0.000
1.982 2.030 0.000
0.000 0.000 9.625
Ba Mo Pt
1 2 1
Direct
0.000 0.000 0.000 Ba
0.500 0.500 0.299 Mo
0.500 0.500 0.701 Mo
0.000 0.000 0.500 Pt
```



9.
Compound: Ba2MoPt
Source: Alexandria via LeMat-Bulk
Functional: GGA-PBEsol
Structure: optimized geometry

Summary:
- ΔE_f: 0.751 eV/atom
- Density of states at the Fermi level: 2.7 states/eV/f.u.
- VASP energy: -20.025 eV/f.u.

Structure (POSCAR):
```
Ba2MoPt
1.0
-2.734 2.734 3.847
2.734 -2.734 3.847
2.734 2.734 -3.847
Ba Mo Pt
2 1 1
Direct
0.250 0.750 0.500 Ba
0.750 0.250 0.500 Ba
0.000 0.000 0.000 Mo
0.500 0.500 0.000 Pt
```



10.
Compound: BaMoPt
Source: Alexandria via LeMat-Bulk
Functional: GGA-PBEsol
Structure: optimized geometry

Summary:
- ΔE_f: 1.685 eV/atom
- Density of states at the Fermi level: 2.1 states/eV/f.u.
- VASP energy: -15.825 eV/f.u.

Structure (POSCAR):
```
BaMoPt
1.0
0.000 3.399 3.399
3.399 0.000 3.399
3.399 3.399 0.000
Ba Mo Pt
1 1 1
Direct
0.000 0.000 0.000 Ba
0.750 0.750 0.750 Mo
0.250 0.250 0.250 Pt
```



11.
Compound: Ba2MoPt
Source: Alexandria via LeMat-Bulk
Functional: GGA-PBEsol
Structure: optimized geometry

Summary:
- ΔE_f: 0.654 eV/atom
- Density of states at the Fermi level: 3.1 states/eV/f.u.
- VASP energy: -20.412 eV/f.u.

Structure (POSCAR):
```
Ba2MoPt
1.0
3.816 0.000 0.000
0.000 3.816 0.000
0.000 0.000 7.936
Ba Mo Pt
2 1 1
Direct
0.000 0.000 0.226 Ba
0.000 0.000 0.774 Ba
0.500 0.500 0.500 Mo
0.500 0.500 0.000 Pt
```



12.
Compound: Ba2MoPt
Source: Alexandria via LeMat-Bulk
Functional: GGA-PBEsol
Structure: optimized geometry

Summary:
- ΔE_f: 0.785 eV/atom
- Density of states at the Fermi level: 3.4 states/eV/f.u.
- VASP energy: -19.888 eV/f.u.

Structure (POSCAR):
```
Ba2MoPt
1.0
-2.303 2.303 5.214
2.303 -2.303 5.214
2.303 2.303 -5.214
Ba Mo Pt
2 1 1
Direct
0.000 0.000 0.000 Ba
0.750 0.250 0.500 Ba
0.500 0.500 0.000 Mo
0.250 0.750 0.500 Pt
```